{
  "formula": "HoZnSn2",
  "functional": "meta-GGA SCAN",
  "state": "single point on PBEsol structure",
  "total_magnetization_mub_per_fu": 0.00,
  "space_group": "P4/nmm (129)",
  "e_tot_ev_per_atom": -34.090,
  "lattice_angstrom": [[4.279, 0.000, 0.000], [0.000, 4.279, 0.000], [0.000, 0.000, 9.604]],
  "species": ["Ho", "Ho", "Zn", "Zn", "Sn", "Sn", "Sn", "Sn"],
  "fractional_positions": [[0.250, 0.250, 0.248], [0.750, 0.750, 0.752], [0.250, 0.750, 0.000], [0.750, 0.250, 0.000], [0.250, 0.250, 0.814], [0.250, 0.750, 0.500], [0.750, 0.250, 0.500], [0.750, 0.750, 0.186]]
}